The following is a PBE calculation of a geometry-optimized K3TeF structure, from Alexandria via LeMat-Bulk.

Distance to the lowest polymorph of the same formula   220 meV per atom
Raw formation energy   -1505 meV/atom

a b c (Å): 6.730 6.730 6.730
angles (deg): 85.16 85.16 85.16
Fractional coordinates of all 5 atoms:
K (0.660, 0.660, 0.079)
Te (0.582, 0.582, 0.582)
K (0.079, 0.660, 0.660)
K (0.660, 0.079, 0.660)
F (0.894, 0.894, 0.894)